[1]
Zr2PaNb: relaxed, GGA-PBE.

Output
Total energy (eV per atom): -8.981
Space group: R-3m (166)
Spin magnetization (μB per formula unit): 0.00
D(E_F) (states/eV/atom): 1.726
DFT formation energy (eV/atom): 0.1840

Unit cell a=3.158 b=3.158 c=10.616 alpha=81.45 beta=81.45 gamma=60.00
Element x y z (fractional)
Nb 0.000 0.000 0.000
Pa 0.500 0.500 0.500
Zr 0.255 0.255 0.234
Zr 0.745 0.745 0.766

[2]
DyMg2Pb: relaxed, GGA-PBE.

Output
Total energy (eV per atom): -2.691
Space group: R-3m (166)
Spin magnetization (μB per formula unit): 0.00
D(E_F) (states/eV/atom): 0.704
DFT formation energy (eV/atom): 0.1836

Unit cell a=3.348 b=3.348 c=11.823 alpha=81.86 beta=81.86 gamma=60.00
Element x y z (fractional)
Pb 0.500 0.500 0.500
Mg 0.091 0.091 0.727
Mg 0.909 0.909 0.273
Dy 0.000 0.000 0.000

[3]
K2Rb2La: relaxed, GGA-PBE.

Output
Total energy (eV per atom): -1.372
Space group: P4/mbm (127)
Spin magnetization (μB per formula unit): 0.00
D(E_F) (states/eV/atom): 0.903
DFT formation energy (eV/atom): 0.4399

Unit cell a=12.143 b=12.143 c=4.273 alpha=90.00 beta=90.00 gamma=90.00
Element x y z (fractional)
K 0.356 0.856 0.000
K 0.856 0.644 0.000
K 0.644 0.144 0.000
K 0.144 0.356 0.000
Rb 0.161 0.661 0.500
Rb 0.661 0.839 0.500
Rb 0.839 0.339 0.500
Rb 0.339 0.161 0.500
La 0.000 0.000 0.000
La 0.500 0.500 0.000

[4]
Pm2RuRh: relaxed, GGA-PBE.

Output
Total energy (eV per atom): -6.963
Space group: P4/mmm (123)
Spin magnetization (μB per formula unit): 0.00
D(E_F) (states/eV/atom): 0.370
DFT formation energy (eV/atom): -0.4307

Unit cell a=3.505 b=3.505 c=6.986 alpha=90.00 beta=90.00 gamma=90.00
Element x y z (fractional)
Ru 0.500 0.500 0.000
Rh 0.500 0.500 0.500
Pm 0.000 0.000 0.753
Pm 0.000 0.000 0.247

[5]
Rb3Tm3UTe8: relaxed, GGA-PBE.

Output
Total energy (eV per atom): -4.729
ΔE_f (raw) (meV/atom): -1213
Space group: R-3m (166)
Spin magnetization (μB per formula unit): 2.00
D(E_F) (states/eV/atom): 0.348

Unit cell a=8.864 b=8.863 c=10.100 alpha=116.03 beta=90.00 gamma=120.00
Element x y z (fractional)
Rb 0.000 0.000 0.000
Rb 0.000 0.500 0.000
Rb 0.500 0.500 0.000
Tm 0.500 0.000 0.500
Tm 0.500 0.500 0.500
Tm 0.000 0.500 0.500
U 0.000 0.000 0.500
Te 0.268 0.536 0.304
Te 0.732 0.464 0.696
Te 0.767 0.533 0.304
Te 0.233 0.467 0.696
Te 0.767 0.038 0.304
Te 0.233 0.962 0.696
Te 0.271 0.038 0.304
Te 0.729 0.962 0.696

[6]
SrTaAl2: relaxed, GGA-PBE.

Output
Total energy (eV per atom): -5.233
Space group: P4/mmm (123)
Spin magnetization (μB per formula unit): 0.00
D(E_F) (states/eV/atom): 0.696
DFT formation energy (eV/atom): 0.0222

Unit cell a=3.047 b=3.047 c=9.087 alpha=90.00 beta=90.00 gamma=90.01
Element x y z (fractional)
Sr 0.500 0.500 0.250
Al 0.000 0.000 0.964
Al 0.000 0.000 0.536
Ta 0.500 0.500 0.750